VASP calculation (GGA+U) on YCr2SnF after structural relaxation.

Cell and atoms, written as extended XYZ:
```
5
Lattice="4.706 0.000 0.000 0.000 4.706 0.000 0.000 0.000 4.681" Properties=species:S:1:pos:R:3 pbc="T T T"
Y 0.000 0.000 0.000
Cr 0.000 2.353 2.340
Cr 2.353 0.000 2.340
Sn 2.353 2.353 0.000
F 0.000 0.000 2.340
```

The calculation puts the energy at -6.12 eV/atom. For the volume, the calculation gives 104 Å³ per cell.



VASP calculation (GGA+U) on ZnCrSnF6 after structural relaxation.

Cell and atoms, written as extended XYZ:
```
18
Lattice="5.517 0.000 0.000 -2.759 4.778 0.000 0.000 0.000 10.293" Properties=species:S:1:pos:R:3 pbc="T T T"
Zn 0.000 3.185 2.573
Zn 2.759 1.593 7.719
Cr 0.000 3.185 7.719
Cr 2.759 1.593 2.573
Sn 0.000 0.000 0.000
Sn 0.000 0.000 5.146
F -0.959 1.719 1.453
F -1.750 3.088 3.693
F 0.959 1.719 3.693
F -0.791 4.749 1.453
F 1.968 0.029 6.599
F 1.009 1.690 8.840
F 1.750 3.088 1.453
F 0.791 4.749 3.693
F 3.550 0.029 8.840
F 1.800 3.060 6.599
F 4.509 1.690 6.599
F 3.718 3.060 8.840
```

The calculation puts the energy at -4.96 eV/atom. For the volume, the calculation gives 271 Å³ per cell.



VASP calculation (GGA+U) on SrCr2F after structural relaxation.

Cell and atoms, written as extended XYZ:
```
8
Lattice="-3.408 3.408 4.832 3.408 -3.408 4.832 3.408 3.408 -4.832" Properties=species:S:1:pos:R:3 pbc="T T T"
Sr 3.408 1.704 1.208
Sr 0.000 1.704 3.624
Cr 0.000 0.000 0.000
Cr 1.704 1.704 -2.416
Cr 1.704 -1.704 2.416
Cr 0.000 3.408 0.000
F 3.408 -1.704 3.624
F 0.000 5.111 1.208
```

The calculation puts the energy at -4.94 eV/atom. For the volume, the calculation gives 224 Å³ per cell.



VASP calculation (GGA+U) on SrCrF2 after structural relaxation.

Cell and atoms, written as extended XYZ:
```
4
Lattice="2.074 1.197 5.655 -2.074 1.197 5.655 0.000 -2.395 5.655" Properties=species:S:1:pos:R:3 pbc="T T T"
Sr 0.000 0.000 0.000
Cr 0.000 0.000 8.482
F 0.000 0.000 6.441
F 0.000 0.000 10.524
```

The calculation puts the energy at -5.57 eV/atom. For the volume, the calculation gives 84 Å³ per cell.



| no. | spin magnetization (Bohr magnetons per cell) |
| --- | --- |
| 1 | 10.0 |
| 2 | 8.0 |
| 3 | 16.3 |
| 4 | 4.0 |